No. 1
Computed, not measured: Pm3EuTc after structural relaxation at the PBE-GGA level of DFT.

Values from the calculation:
DFT formation energy: 0.1002 eV per atom
DFT total energy: -6.8783 eV per atom
volume: 34.37 Å³/atom

Unit cell a=5.560 b=5.560 c=5.560 alpha=90.00 beta=90.00 gamma=90.00
Space group Pm-3m (No. 221)
Symmetry-distinct sites (fractional):
Pm  0.000  0.000  0.500
Eu  0.500  0.500  0.500
Tc  0.000  0.000  0.000


No. 2
Computed, not measured: BaPrGd2 after structural relaxation at the PBE-GGA level of DFT.

Values from the calculation:
DFT formation energy: 0.2022 eV per atom
energy above the lowest structure with this stoichiometry: 77 meV/atom
DFT total energy: -8.5138 eV per atom
volume: 37.89 Å³/atom

Unit cell a=5.343 b=5.343 c=5.309 alpha=90.00 beta=90.00 gamma=90.00
Space group P4/mmm (No. 123)
Symmetry-distinct sites (fractional):
Ba  0.000  0.000  0.000
Pr  0.500  0.500  0.000
Gd  0.000  0.500  0.500